Entry 1:
Below is CaZnH2O after structural relaxation, with properties calculated at the GGA-PBE level.

Values from the calculation:
Magnetization: 0.00 μB/cell
Electronic total energy: -3.72 eV per atom
Crystal system: tetragonal

Cell and atoms, written as CIF:
```
data_CaZnH2O
_cell_length_a 3.309
_cell_length_b 3.309
_cell_length_c 8.113
_cell_angle_alpha 90.00
_cell_angle_beta 90.00
_cell_angle_gamma 90.00
_symmetry_space_group_name_H-M 'P 4/m m m'
_symmetry_Int_Tables_number 123
_symmetry_space_group_name_Hall '-P 4 2'
loop_
_atom_site_label
_atom_site_type_symbol
_atom_site_fract_x
_atom_site_fract_y
_atom_site_fract_z
_atom_site_occupancy
Ca1 Ca 0.000 0.000 0.000 1
Zn1 Zn 0.000 0.000 0.500 1
H1 H 0.000 0.500 0.500 1
O1 O 0.500 0.500 0.000 1
```

Entry 2:
Below is CaH8Os2 after structural relaxation, with properties calculated at the GGA-PBE level.

Values from the calculation:
Magnetization: 0.00 μB/cell
Electronic total energy: -4.69 eV per atom
Crystal system: monoclinic

Cell and atoms, written as CIF:
```
data_CaH8Os2
_cell_length_a 4.991
_cell_length_b 8.089
_cell_length_c 4.962
_cell_angle_alpha 90.00
_cell_angle_beta 109.01
_cell_angle_gamma 90.00
_symmetry_space_group_name_H-M 'C 1 m 1'
_symmetry_Int_Tables_number 8
_symmetry_space_group_name_Hall 'C -2y'
loop_
_atom_site_label
_atom_site_type_symbol
_atom_site_fract_x
_atom_site_fract_y
_atom_site_fract_z
_atom_site_occupancy
Ca1 Ca 0.000 0.000 0.000 1
H1 H 0.035 0.135 0.504 1
H2 H 0.042 0.500 0.090 1
H3 H 0.060 0.500 0.601 1
H4 H 0.280 0.221 0.170 1
H5 H 0.315 0.249 0.702 1
Os1 Os 0.177 0.343 0.397 1
```

Entry 3:
Below is CaHOs after structural relaxation, with properties calculated at the GGA-PBE level.

Values from the calculation:
Magnetization: 0.00 μB/cell
Electronic total energy: -5.38 eV per atom
Crystal system: triclinic

Cell and atoms, written as CIF:
```
data_CaHOs
_cell_length_a 3.002
_cell_length_b 5.367
_cell_length_c 5.620
_cell_angle_alpha 82.64
_cell_angle_beta 89.99
_cell_angle_gamma 89.79
_symmetry_space_group_name_H-M 'P 1'
_symmetry_Int_Tables_number 1
_symmetry_space_group_name_Hall 'P 1'
loop_
_atom_site_label
_atom_site_type_symbol
_atom_site_fract_x
_atom_site_fract_y
_atom_site_fract_z
_atom_site_occupancy
Ca1 Ca 0.000 0.000 0.000 1
Ca2 Ca 0.003 0.545 0.622 1
H1 H 0.501 0.695 0.890 1
H2 H 0.998 0.002 0.592 1
Os1 Os 0.499 0.104 0.427 1
Os2 Os 0.505 0.489 0.166 1
```

Entry 4:
Below is CaHOs3 after structural relaxation, with properties calculated at the GGA-PBE level.

Values from the calculation:
Magnetization: 5.35 μB/cell
Crystal system: cubic
Energy above the most stable polymorph in this dataset: 3195.3 meV/atom

Cell and atoms, written as CIF:
```
data_CaHOs3
_cell_length_a 4.788
_cell_length_b 4.788
_cell_length_c 4.788
_cell_angle_alpha 90.00
_cell_angle_beta 90.00
_cell_angle_gamma 90.00
_symmetry_space_group_name_H-M 'P m -3 m'
_symmetry_Int_Tables_number 221
_symmetry_space_group_name_Hall '-P 4 2 3'
loop_
_atom_site_label
_atom_site_type_symbol
_atom_site_fract_x
_atom_site_fract_y
_atom_site_fract_z
_atom_site_occupancy
Ca1 Ca 0.000 0.000 0.000 1
H1 H 0.500 0.500 0.500 1
Os1 Os 0.000 0.000 0.500 1
```

What did the fourth record say?
Below is CaHOs3 after structural relaxation, with properties calculated at the GGA-PBE level.

Values from the calculation:
Magnetization: 5.35 μB/cell
Crystal system: cubic
Energy above the most stable polymorph in this dataset: 3195.3 meV/atom

Cell and atoms, written as CIF:
```
data_CaHOs3
_cell_length_a 4.788
_cell_length_b 4.788
_cell_length_c 4.788
_cell_angle_alpha 90.00
_cell_angle_beta 90.00
_cell_angle_gamma 90.00
_symmetry_space_group_name_H-M 'P m -3 m'
_symmetry_Int_Tables_number 221
_symmetry_space_group_name_Hall '-P 4 2 3'
loop_
_atom_site_label
_atom_site_type_symbol
_atom_site_fract_x
_atom_site_fract_y
_atom_site_fract_z
_atom_site_occupancy
Ca1 Ca 0.000 0.000 0.000 1
H1 H 0.500 0.500 0.500 1
Os1 Os 0.000 0.000 0.500 1
```